An optimized crystal structure of K2LaMo3O12, computed with PBE+U.

Values from the calculation:
- Fermi-level density of states: 9.91 states/eV/cell
- Total moment: 0.965 μB per formula unit
- Total DFT energy (no corrections): -120.572 eV per cell
- SG: R-3m

a = 7.5726 Å, b = 7.5726 Å, c = 7.5726 Å
α = 59.95°, β = 59.95°, γ = 59.95°
Last column: nearest neighbours and their distance in Å.
Atoms (fractional coordinates):
K1 0.1438 0.1438 0.1438  3 O 2.79
K2 0.8562 0.8562 0.8562  3 O 2.79
La1 0.5000 0.5000 0.5000  6 O 2.42
Mo1 0.0000 0.5000 0.5000  6 O 1.89-1.95
Mo2 0.5000 0.0000 0.5000  6 O 1.89-1.95
Mo3 0.5000 0.5000 0.0000  6 O 1.89-1.95
O1 0.1151 0.5954 0.5954  1 Mo 1.89
O2 0.2106 0.2106 0.5703  2 Mo 1.95
O3 0.2106 0.5703 0.2106  2 Mo 1.95
O4 0.4046 0.4046 0.8849  1 Mo 1.89
O5 0.4046 0.8849 0.4046  1 Mo 1.89
O6 0.4297 0.7894 0.7894  2 Mo 1.95
O7 0.5703 0.2106 0.2106  2 Mo 1.95
O8 0.5954 0.1151 0.5954  1 Mo 1.89
O9 0.5954 0.5954 0.1151  1 Mo 1.89
O10 0.7894 0.4297 0.7894  2 Mo 1.95
O11 0.7894 0.7894 0.4297  2 Mo 1.95
O12 0.8849 0.4046 0.4046  1 Mo 1.89